Below is an optimized crystal structure of YCrTeBr2, with properties calculated at the PBE level.

Values from the calculation:
The total DFT energy (no corrections) comes out at -4.743 eV per atom. The total moment is 0.000 μB/cell. Its crystal system is tetragonal. As for the raw formation energy: -0.2280 eV per atom.

```
YCrTeBr2
1.0
4.6203 0.0000 0.0000
0.0000 6.4140 0.0000
0.0000 0.0000 4.6203
Br Te Cr Y
2 1 1 1
Cartesian
0.0000 0.0000 2.3101 Br
2.3101 0.0000 0.0000 Br
2.3101 3.2070 2.3101 Te
0.0000 0.0000 0.0000 Cr
0.0000 3.2070 0.0000 Y
```


Below is an optimized crystal structure of Ti3CrBr, with properties calculated at the PBE level.

Values from the calculation:
The total DFT energy (no corrections) comes out at -6.061 eV per atom. The total moment is 0.263 μB/cell. Its crystal system is cubic. As for the raw formation energy: 0.9349 eV per atom.

```
Ti3CrBr
1.0
-0.8121 -2.4068 -3.8130
2.3841 -3.5177 1.7127
-3.8273 -1.6805 1.8759
Br Cr Ti
1 1 3
Cartesian
0.0000 0.0000 0.0000 Br
-1.1277 -3.8025 -0.1122 Cr
-0.4061 -1.2034 -1.9065 Ti
1.1920 -1.7589 0.8563 Ti
-1.9136 -0.8403 0.9380 Ti
```


Below is an optimized crystal structure of TiCrBr, with properties calculated at the PBE level.

Values from the calculation:
The total DFT energy (no corrections) comes out at -6.708 eV per atom. The total moment is 0.000 μB/cell. Its crystal system is triclinic. As for the raw formation energy: -0.3111 eV per atom.

```
TiCrBr
1.0
-0.8265 -2.0629 -3.2079
3.5144 -0.2917 1.5915
-3.6239 -2.3559 11.9390
Cr Br Ti
2 2 2
Cartesian
-1.3001 -2.9012 4.5660 Cr
0.3640 -1.8094 5.7566 Cr
-1.3422 -2.8875 9.3113 Br
0.4061 -1.8230 1.0112 Br
1.3407 -2.4325 3.5344 Ti
-2.2768 -2.2780 6.7881 Ti
```


Below is an optimized crystal structure of Ti2CrBr, with properties calculated at the PBE level.

Values from the calculation:
The total DFT energy (no corrections) comes out at -6.249 eV per atom. The total moment is 0.001 μB/cell. Its crystal system is cubic. As for the raw formation energy: 0.5226 eV per atom.

```
Ti2CrBr
1.0
-2.3540 -3.6774 0.9749
-3.3860 -1.2542 -2.6415
0.3914 -3.6499 -2.5574
Ti Br Cr
2 1 1
Cartesian
-4.0115 -6.4361 -3.1679 Ti
-1.3372 -2.1454 -1.0560 Ti
-2.6743 -4.2907 -2.1119 Br
0.0000 0.0000 0.0000 Cr
```


Below is an optimized crystal structure of Ti2CrBr, with properties calculated at the PBE level.

Values from the calculation:
The total DFT energy (no corrections) comes out at -5.987 eV per atom. The total moment is 0.000 μB/cell. Its crystal system is tetragonal. As for the raw formation energy: 0.7845 eV per atom.

```
Ti2CrBr
1.0
-5.3318 -1.0244 1.0424
1.4110 -4.6359 2.6611
-1.5648 0.1106 6.7652
Ti Cr Br
4 2 2
Cartesian
-4.7086 -4.5272 8.1178 Ti
-2.5396 -2.3824 6.6594 Ti
-3.1531 -1.1164 2.5984 Ti
-0.5699 -3.0736 3.5618 Ti
-1.0571 -3.6778 5.6390 Cr
-1.9604 -2.8302 1.8518 Cr
-4.4285 -1.8720 4.8297 Br
0.0000 0.0000 0.0000 Br
```


Below is an optimized crystal structure of Ti3CrBr, with properties calculated at the PBE level.

Values from the calculation:
The total DFT energy (no corrections) comes out at -6.357 eV per atom. The total moment is 0.001 μB/cell. Its crystal system is cubic. As for the raw formation energy: 0.6395 eV per atom.

```
Ti3CrBr
1.0
-3.2348 3.2507 -0.5548
-3.2075 -2.9208 1.5874
0.7663 1.4968 4.3025
Ti Br Cr
3 1 1
Cartesian
-1.6174 1.6254 -0.2774 Ti
-1.6037 -1.4604 0.7937 Ti
0.3831 0.7484 2.1512 Ti
-2.8380 0.9134 2.6676 Br
0.0000 0.0000 0.0000 Cr
```


Below is an optimized crystal structure of TlCr2Br, with properties calculated at the PBE level.

Values from the calculation:
The total DFT energy (no corrections) comes out at -5.176 eV per atom. The total moment is 8.906 μB/cell. Its crystal system is tetragonal. As for the raw formation energy: 0.6459 eV per atom.

```
TlCr2Br
1.0
6.3647 1.0391 0.0000
3.1021 5.6539 0.0000
-4.7334 -3.3465 2.8258
Cr Br Tl
2 1 1
Cartesian
1.5511 2.8270 1.4129 Cr
0.0000 0.0000 0.0000 Cr
3.1824 0.5196 1.4129 Br
4.7334 3.3465 0.0000 Tl
```


Below is an optimized crystal structure of TlCr2Br, with properties calculated at the PBE level.

Values from the calculation:
The total DFT energy (no corrections) comes out at -5.266 eV per atom. The total moment is 8.498 μB/cell. Its crystal system is tetragonal. As for the raw formation energy: 0.5552 eV per atom.

```
TlCr2Br
1.0
3.3596 0.0000 0.0000
0.0000 3.3596 0.0000
0.0000 0.0000 7.5460
Br Tl Cr
1 1 2
Cartesian
1.6798 1.6798 5.6595 Br
1.6798 1.6798 1.8865 Tl
0.0000 0.0000 3.7346 Cr
0.0000 0.0000 0.0384 Cr
```


Please write out number 7 again, unchanged.
Below is an optimized crystal structure of TlCr2Br, with properties calculated at the PBE level.

Values from the calculation:
The total DFT energy (no corrections) comes out at -5.176 eV per atom. The total moment is 8.906 μB/cell. Its crystal system is tetragonal. As for the raw formation energy: 0.6459 eV per atom.

```
TlCr2Br
1.0
6.3647 1.0391 0.0000
3.1021 5.6539 0.0000
-4.7334 -3.3465 2.8258
Cr Br Tl
2 1 1
Cartesian
1.5511 2.8270 1.4129 Cr
0.0000 0.0000 0.0000 Cr
3.1824 0.5196 1.4129 Br
4.7334 3.3465 0.0000 Tl
```


Look up the total moment of the third one. 0.000 μB/cell


Which of these has the lowest raw formation energy? TiCrBr